MnBeCl2 GGA-PBE relaxed; calculated volume = 81.2 Å³ per cell; energy above the lowest structure with this stoichiometry = 81 meV per atom; total moment = 4.0 μB per formula unit; symmetry = Cmm2, No. 35; uncorrected energy = -4.54 eV/atom
1.0
-2.362 -0.222 -2.419
-0.092 -1.717 2.919
-4.332 6.422 3.640
Mn Cl Be
1 2 1
direct
0.000 0.000 0.528 Mn
0.000 0.000 0.899 Cl
0.500 0.500 0.324 Cl
0.500 0.500 0.750 Be


Mn2BeCl GGA-PBE relaxed; calculated volume = 64.0 Å³ per cell; energy above the lowest structure with this stoichiometry = 187 meV per atom; total moment = 7.3 μB per formula unit; symmetry = Cmm2, No. 35; uncorrected energy = -5.66 eV/atom
1.0
2.903 0.034 0.000
-1.329 2.582 0.000
0.000 0.000 8.494
Mn Be Cl
2 1 1
direct
0.500 0.500 0.288 Mn
0.000 0.000 0.042 Mn
0.000 0.000 0.505 Be
0.500 0.500 0.666 Cl


MnBeCl2 GGA-PBE relaxed; calculated volume = 65.0 Å³ per cell; energy above the lowest structure with this stoichiometry = 835 meV per atom; total moment = 3.6 μB per formula unit; symmetry = Fm-3m, No. 225; uncorrected energy = -3.78 eV/atom
1.0
0.289 1.521 4.239
-2.782 3.256 1.424
-3.262 -0.958 2.968
Mn Cl Be
1 2 1
direct
0.500 0.500 0.500 Mn
0.750 0.750 0.750 Cl
0.250 0.250 0.250 Cl
0.000 0.000 0.000 Be


Mn2BeCl GGA-PBE relaxed; calculated volume = 59.0 Å³ per cell; energy above the lowest structure with this stoichiometry = 91 meV per atom; total moment = 6.7 μB per formula unit; symmetry = Imm2, No. 44; uncorrected energy = -5.76 eV/atom
1.0
-1.823 -6.071 -1.269
-0.354 -4.121 -4.969
3.006 4.247 3.836
Mn Be Cl
2 1 1
direct
0.827 0.327 0.500 Mn
0.020 0.020 0.000 Mn
0.457 0.457 0.000 Be
0.196 0.696 0.500 Cl


MnBeCl2 GGA-PBE relaxed; calculated volume = 105.8 Å³ per cell; energy above the lowest structure with this stoichiometry = 168 meV per atom; total moment = 4.3 μB per formula unit; symmetry = Imm2, No. 44; uncorrected energy = -4.45 eV/atom
1.0
6.066 0.009 0.075
0.253 6.061 -0.075
-1.080 -5.200 2.932
Cl Be Mn
2 1 1
direct
0.100 0.100 0.000 Cl
0.679 0.179 0.500 Cl
0.248 0.748 0.500 Be
0.474 0.474 0.000 Mn


MnBe2Cl2 GGA-PBE relaxed; calculated volume = 75.1 Å³ per cell; total moment = 2.9 μB per formula unit; symmetry = I4/mmm, No. 139; uncorrected energy = -3.43 eV/atom
1.0
-1.943 -3.269 3.012
2.457 1.324 3.967
-2.591 3.052 -2.738
Mn Cl Be
1 2 2
direct
0.000 0.000 0.000 Mn
0.303 0.303 0.000 Cl
0.697 0.697 0.000 Cl
0.750 0.250 0.500 Be
0.250 0.750 0.500 Be


MnBeCl2 GGA-PBE relaxed; calculated volume = 70.5 Å³ per cell; energy above the lowest structure with this stoichiometry = 655 meV per atom; total moment = 3.7 μB per formula unit; symmetry = Pmmm, No. 47; uncorrected energy = -3.96 eV/atom
1.0
3.188 0.000 0.000
0.000 5.840 0.000
0.000 0.000 3.787
Cl Mn Be
2 1 1
direct
0.500 0.500 0.000 Cl
0.000 0.000 0.000 Cl
0.500 0.000 0.500 Mn
0.000 0.500 0.500 Be


MnBeCl GGA-PBE relaxed; calculated volume = 41.5 Å³ per cell; energy above the lowest structure with this stoichiometry = 405 meV per atom; total moment = 2.9 μB per formula unit; symmetry = P-6m2, No. 187; uncorrected energy = -4.33 eV/atom
1.0
4.017 0.000 0.000
-2.009 3.479 0.000
0.000 0.000 2.969
Be Cl Mn
1 1 1
direct
0.000 0.000 0.000 Be
0.667 0.333 0.500 Cl
0.333 0.667 0.500 Mn


MnBeCl2 GGA-PBE relaxed; calculated volume = 81.2 Å³ per cell; energy above the lowest structure with this stoichiometry = 79 meV per atom; total moment = 4.0 μB per formula unit; symmetry = Pm, No. 6; uncorrected energy = -4.54 eV/atom
1.0
3.075 0.000 0.000
0.000 3.278 -0.013
0.000 -0.003 8.058
Cl Mn Be
2 1 1
direct
0.000 0.878 0.898 Cl
0.500 0.372 0.324 Cl
0.000 0.373 0.542 Mn
0.500 0.877 0.735 Be


Mn4BeCl GGA-PBE relaxed; calculated volume = 74.1 Å³ per cell; total moment = 3.5 μB per formula unit; symmetry = F-43m, No. 216; uncorrected energy = -6.14 eV/atom
1.0
0.000 3.334 3.334
3.334 0.000 3.334
3.334 3.334 0.000
Mn Cl Be
4 1 1
direct
0.876 0.375 0.375 Mn
0.375 0.375 0.876 Mn
0.375 0.876 0.375 Mn
0.375 0.375 0.375 Mn
0.000 0.000 0.000 Cl
0.750 0.750 0.750 Be


MnBeCl2 GGA-PBE relaxed; calculated volume = 91.8 Å³ per cell; energy above the lowest structure with this stoichiometry = 404 meV per atom; total moment = 4.7 μB per formula unit; symmetry = P2/m, No. 10; uncorrected energy = -4.22 eV/atom
1.0
3.048 0.000 0.000
0.000 5.666 1.573
0.000 1.484 5.730
Cl Be Mn
2 1 1
direct
0.000 0.606 0.605 Cl
0.000 0.894 0.895 Cl
0.500 0.750 0.750 Be
0.500 0.250 0.250 Mn


MnBeCl2 GGA-PBE relaxed; calculated volume = 101.4 Å³ per cell; energy above the lowest structure with this stoichiometry = 485 meV per atom; total moment = 4.9 μB per formula unit; symmetry = R-3m, No. 166; uncorrected energy = -4.13 eV/atom
1.0
-2.869 9.446 0.020
-5.786 7.917 1.145
-3.244 8.684 3.396
Cl Mn Be
2 1 1
direct
0.532 0.532 0.532 Cl
0.968 0.968 0.968 Cl
0.250 0.250 0.250 Mn
0.750 0.750 0.750 Be


Mn2BeCl GGA-PBE relaxed; calculated volume = 57.5 Å³ per cell; energy above the lowest structure with this stoichiometry = 12 meV per atom; total moment = 6.7 μB per formula unit; symmetry = R-3m, No. 166; uncorrected energy = -5.84 eV/atom
1.0
6.360 -0.342 -0.203
5.676 2.891 -0.203
5.676 1.202 2.637
Be Mn Cl
1 2 1
direct
0.250 0.250 0.250 Be
0.520 0.520 0.520 Mn
0.980 0.980 0.980 Mn
0.750 0.750 0.750 Cl


MnBeCl GGA-PBE relaxed; calculated volume = 53.7 Å³ per cell; energy above the lowest structure with this stoichiometry = 6 meV per atom; total moment = 3.8 μB per formula unit; symmetry = Fmm2, No. 42; uncorrected energy = -4.73 eV/atom
1.0
-0.308 7.259 0.241
-2.939 6.175 1.250
2.076 0.962 1.969
Be Mn Cl
1 1 1
direct
0.987 0.987 0.013 Be
0.625 0.625 0.375 Mn
0.388 0.388 0.612 Cl


MnBe4Cl GGA-PBE relaxed; calculated volume = 59.4 Å³ per cell; total moment = 0.0 μB per formula unit; symmetry = F-43m, No. 216; uncorrected energy = -3.81 eV/atom
1.0
0.000 3.097 3.097
3.097 0.000 3.097
3.097 3.097 0.000
Be Cl Mn
4 1 1
direct
0.372 0.885 0.372 Be
0.372 0.372 0.885 Be
0.372 0.372 0.372 Be
0.885 0.372 0.372 Be
0.750 0.750 0.750 Cl
0.000 0.000 0.000 Mn


MnBeCl5 GGA-PBE relaxed; calculated volume = 751.6 Å³ per cell; total moment = 4.0 μB per formula unit; symmetry = Pnma, No. 62; uncorrected energy = -4.17 eV/atom
1.0
-5.674 -3.035 2.057
1.824 -6.496 -4.553
6.755 -5.489 10.538
Cl Mn Be
20 4 4
direct
0.750 0.502 0.802 Cl
0.990 0.371 0.381 Cl
0.010 0.871 0.119 Cl
0.000 0.000 0.500 Cl
0.250 0.498 0.198 Cl
0.010 0.629 0.619 Cl
0.510 0.129 0.881 Cl
0.250 0.002 0.698 Cl
0.510 0.371 0.381 Cl
0.250 0.718 0.396 Cl
0.990 0.129 0.881 Cl
0.500 0.000 0.500 Cl
0.750 0.218 0.104 Cl
0.750 0.998 0.302 Cl
0.490 0.871 0.119 Cl
0.500 0.500 0.000 Cl
0.000 0.500 0.000 Cl
0.750 0.282 0.604 Cl
0.250 0.782 0.896 Cl
0.490 0.629 0.619 Cl
0.750 0.324 0.942 Mn
0.250 0.676 0.058 Mn
0.750 0.176 0.442 Mn
0.250 0.824 0.558 Mn
0.750 0.982 0.151 Be
0.750 0.518 0.651 Be
0.250 0.018 0.849 Be
0.250 0.482 0.349 Be


Mn2BeNiCl GGA-PBE relaxed; calculated volume = 70.2 Å³ per cell; total moment = 6.4 μB per formula unit; symmetry = P4/mmm, No. 123; uncorrected energy = -5.02 eV/atom
1.0
4.244 0.000 0.000
0.000 3.898 0.000
0.000 0.000 4.244
Ni Cl Mn Be
1 1 2 1
direct
0.500 0.500 0.500 Ni
0.000 0.000 0.000 Cl
0.500 0.000 0.000 Mn
0.000 0.000 0.500 Mn
0.000 0.500 0.000 Be


MnBeOs2Cl GGA-PBE relaxed; calculated volume = 71.7 Å³ per cell; total moment = 0.0 μB per formula unit; symmetry = P4/mmm, No. 123; uncorrected energy = -5.65 eV/atom
1.0
-0.164 3.630 2.082
-3.624 -1.059 1.562
1.927 -1.784 3.263
Os Be Cl Mn
2 1 1 1
direct
0.000 0.000 0.500 Os
0.500 0.000 0.000 Os
0.000 0.000 0.000 Be
0.000 0.500 0.000 Cl
0.500 0.500 0.500 Mn


MnBeP2Cl GGA-PBE relaxed; calculated volume = 79.4 Å³ per cell; energy above the lowest structure with this stoichiometry = 271 meV per atom; total moment = 0.2 μB per formula unit; symmetry = P4/mmm, No. 123; uncorrected energy = -4.18 eV/atom
1.0
-2.805 2.697 -1.456
-2.929 -2.939 0.198
-0.999 1.286 4.305
Cl P Mn Be
1 2 1 1
direct
0.000 0.000 0.500 Cl
0.500 0.000 0.000 P
0.000 0.500 0.000 P
0.500 0.500 0.500 Mn
0.000 0.000 0.000 Be


MnBeP2Cl GGA-PBE relaxed; calculated volume = 91.3 Å³ per cell; energy above the lowest structure with this stoichiometry = 0 meV per atom; total moment = 0.0 μB per formula unit; symmetry = P4/mmm, No. 123; uncorrected energy = -4.45 eV/atom
1.0
4.254 0.000 0.000
0.000 4.254 0.000
0.000 0.000 5.046
P Be Cl Mn
2 1 1 1
direct
0.500 0.000 0.000 P
0.000 0.500 0.000 P
0.500 0.500 0.500 Be
0.000 0.000 0.500 Cl
0.000 0.000 0.000 Mn


MnBeTcPCl GGA-PBE relaxed; calculated volume = 71.0 Å³ per cell; energy above the lowest structure with this stoichiometry = 17 meV per atom; total moment = 2.2 μB per formula unit; symmetry = Pmm2, No. 25; uncorrected energy = -6.35 eV/atom
1.0
3.224 0.000 0.000
0.000 3.361 0.000
0.000 0.000 6.551
Cl Mn P Tc Be
1 1 1 1 1
direct
0.500 0.000 0.180 Cl
0.500 0.000 0.825 Mn
0.000 0.500 0.755 P
0.500 0.500 0.479 Tc
0.000 0.000 0.539 Be


MnBeTcPCl GGA-PBE relaxed; calculated volume = 165.1 Å³ per cell; energy above the lowest structure with this stoichiometry = 48 meV per atom; total moment = 2.9 μB per formula unit; symmetry = Cm, No. 8; uncorrected energy = -6.32 eV/atom
1.0
3.232 0.000 0.072
0.000 3.083 0.000
-1.553 0.000 16.539
Tc P Be Mn Cl
2 2 2 2 2
direct
0.722 0.500 0.685 Tc
0.722 0.000 0.185 Tc
0.676 0.500 0.540 P
0.676 0.000 0.040 P
0.224 0.000 0.749 Be
0.224 0.500 0.249 Be
0.198 0.000 0.596 Mn
0.198 0.500 0.096 Mn
0.092 0.500 0.830 Cl
0.092 0.000 0.330 Cl


MnBeTcPCl GGA-PBE relaxed; calculated volume = 77.0 Å³ per cell; energy above the lowest structure with this stoichiometry = 329 meV per atom; total moment = 0.0 μB per formula unit; symmetry = P1, No. 1; uncorrected energy = -6.04 eV/atom
1.0
-1.869 -0.485 -3.230
-3.582 -1.606 1.399
-3.579 3.886 0.670
P Cl Tc Be Mn
1 1 1 1 1
direct
0.301 0.985 0.927 P
0.739 0.629 0.501 Cl
0.162 0.391 0.203 Tc
0.764 0.051 0.097 Be
0.551 0.165 0.488 Mn


MnBeTcPCl GGA-PBE relaxed; calculated volume = 76.6 Å³ per cell; energy above the lowest structure with this stoichiometry = 271 meV per atom; total moment = 3.5 μB per formula unit; symmetry = Cm, No. 8; uncorrected energy = -6.10 eV/atom
1.0
3.063 -0.033 -0.006
-1.483 4.723 -0.230
-0.012 -2.228 5.426
Be P Tc Mn Cl
1 1 1 1 1
direct
0.891 0.077 0.300 Be
0.827 0.949 0.889 P
0.163 0.620 0.591 Tc
0.498 0.291 0.749 Mn
0.666 0.626 0.249 Cl


MnBeTcPCl GGA-PBE relaxed; calculated volume = 94.6 Å³ per cell; energy above the lowest structure with this stoichiometry = 253 meV per atom; total moment = 0.0 μB per formula unit; symmetry = P1, No. 1; uncorrected energy = -6.12 eV/atom
1.0
-1.061 3.751 -0.091
-2.057 1.480 2.965
5.808 2.118 3.607
Be Mn P Cl Tc
1 1 1 1 1
direct
0.623 0.940 0.531 Be
0.970 0.297 0.331 Mn
0.639 0.974 0.208 P
0.421 0.726 0.741 Cl
0.302 0.625 0.410 Tc


MnBeTcPCl GGA-PBE relaxed; calculated volume = 151.4 Å³ per cell; energy above the lowest structure with this stoichiometry = 201 meV per atom; total moment = 2.3 μB per formula unit; symmetry = Cm, No. 8; uncorrected energy = -6.17 eV/atom
1.0
5.493 0.000 0.150
0.000 3.026 0.000
-3.331 0.000 9.019
Cl Be P Mn Tc
2 2 2 2 2
direct
0.763 0.500 0.710 Cl
0.763 0.000 0.210 Cl
0.703 0.000 0.408 Be
0.703 0.500 0.908 Be
0.115 0.500 0.037 P
0.115 0.000 0.537 P
0.241 0.500 0.754 Mn
0.241 0.000 0.254 Mn
0.399 0.500 0.483 Tc
0.399 0.000 0.983 Tc


MnBeTcPCl GGA-PBE relaxed; calculated volume = 91.3 Å³ per cell; energy above the lowest structure with this stoichiometry = 254 meV per atom; total moment = 0.0 μB per formula unit; symmetry = P1, No. 1; uncorrected energy = -6.12 eV/atom
1.0
2.900 -0.003 0.011
-1.445 4.008 -0.018
-0.021 -1.535 7.861
P Cl Be Mn Tc
1 1 1 1 1
direct
0.573 0.094 0.603 P
0.371 0.686 0.059 Cl
0.092 0.129 0.372 Be
0.783 0.511 0.236 Mn
0.839 0.625 0.509 Tc